Entry 1:
KSiI2N after structural relaxation. Source: the Alexandria database, functional PBE.

Values from the calculation:
Its total magnetization is 0.00 μB per formula unit. Its energy above the most stable polymorph in this dataset is 0 meV per atom. As for the formation energy without anion corrections: -0.262 eV per atom. As for the space-group type: P4/mmm, No. 123.

a b c (Å): 6.2450 6.2450 3.4127
angles (deg): 90.00 90.00 90.00
Sites, in units of the cell vectors:
K 0.0000 0.0000 0.0000
Si 0.5000 0.5000 0.5000
I 0.0000 0.5000 0.5000
I 0.5000 0.0000 0.5000
N 0.5000 0.5000 0.0000

Entry 2:
Cs3ZrBi2Se6 after structural relaxation. Source: the Alexandria database, functional PBE.

Values from the calculation:
Its total magnetization is 0.82 μB per formula unit. As for the formation energy without anion corrections: -0.928 eV per atom. As for the space-group type: C2/m, No. 12.

a b c (Å): 7.5652 7.5652 8.5655
angles (deg): 98.44 98.44 120.14
Sites, in units of the cell vectors:
Cs 0.0000 0.0000 0.0000
Cs 0.3276 0.6724 0.0000
Cs 0.6724 0.3276 0.0000
Zr 0.5000 0.5000 0.5000
Bi 0.1660 0.8340 0.5000
Bi 0.8340 0.1660 0.5000
Se 0.1289 0.4394 0.3176
Se 0.2526 0.2526 0.6852
Se 0.4394 0.1289 0.3176
Se 0.5606 0.8711 0.6824
Se 0.7474 0.7474 0.3148
Se 0.8711 0.5606 0.6824

Entry 3:
Pr3NdTm2Se6 after structural relaxation. Source: the Alexandria database, functional PBE.

Values from the calculation:
Its total magnetization is 0.00 μB per formula unit. As for the formation energy without anion corrections: -1.790 eV per atom. As for the space-group type: C2/m, No. 12.

a b c (Å): 7.1841 7.1841 7.3433
angles (deg): 99.36 99.36 120.20
Sites, in units of the cell vectors:
Pr 0.0000 0.0000 0.0000
Pr 0.3414 0.6586 0.0000
Pr 0.6586 0.3414 0.0000
Nd 0.5000 0.5000 0.5000
Tm 0.1660 0.8340 0.5000
Tm 0.8340 0.1660 0.5000
Se 0.0752 0.4221 0.2647
Se 0.2301 0.2301 0.7291
Se 0.4221 0.0752 0.2647
Se 0.5779 0.9248 0.7353
Se 0.7699 0.7699 0.2709
Se 0.9248 0.5779 0.7353

Entry 4:
LiTlGa after structural relaxation. Source: the Alexandria database, functional PBE.

Values from the calculation:
Its total magnetization is 0.00 μB per formula unit. Its energy above the most stable polymorph in this dataset is 25 meV per atom. As for the formation energy: -0.075 eV per atom. As for the space-group type: F-43m, No. 216.

a b c (Å): 4.6191 4.6191 4.6191
angles (deg): 60.00 60.00 60.00
Sites, in units of the cell vectors:
Li 0.0000 0.0000 0.0000
Tl 0.5000 0.5000 0.5000
Ga 0.2500 0.2500 0.2500

Entry 5:
PRhPb2 after structural relaxation. Source: the Alexandria database, functional PBE.

Values from the calculation:
Its total magnetization is 0.00 μB per formula unit. As for the formation energy: 0.313 eV per atom. As for the space-group type: Cmmm, No. 65.

a b c (Å): 4.9980 4.9980 3.4471
angles (deg): 90.00 90.00 97.28
Sites, in units of the cell vectors:
P 0.0000 0.0000 0.0000
Rh 0.5000 0.5000 0.0000
Pb 0.0000 0.5000 0.5000
Pb 0.5000 0.0000 0.5000

Entry 6:
Rb3PbS3 after structural relaxation. Source: the Alexandria database, functional PBE.

Values from the calculation:
Its total magnetization is 0.02 μB per formula unit. As for the formation energy without anion corrections: -0.838 eV per atom. As for the space-group type: C2/m, No. 12.

a b c (Å): 8.4376 8.4376 8.2184
angles (deg): 95.16 95.16 114.29
Sites, in units of the cell vectors:
Rb 0.1785 0.8215 0.0000
Rb 0.2398 0.7602 0.5000
Rb 0.3786 0.3786 0.1352
Rb 0.6214 0.6214 0.8648
Rb 0.7602 0.2398 0.5000
Rb 0.8215 0.1785 0.0000
Pb 0.1896 0.1896 0.6328
Pb 0.8104 0.8104 0.3672
S 0.0810 0.0810 0.2823
S 0.1682 0.4666 0.7773
S 0.4666 0.1682 0.7773
S 0.5334 0.8318 0.2227
S 0.8318 0.5334 0.2227
S 0.9190 0.9190 0.7177

Entry 7:
BaPdAu after structural relaxation. Source: the Alexandria database, functional PBE.

Values from the calculation:
Its total magnetization is 0.00 μB per formula unit. Its energy above the most stable polymorph in this dataset is 34 meV per atom. As for the formation energy: -0.579 eV per atom. As for the space-group type: Imma, No. 74.

a b c (Å): 5.8374 5.8374 5.8374
angles (deg): 119.13 118.52 92.04
Sites, in units of the cell vectors:
Ba 0.3696 0.1196 0.2500
Ba 0.6304 0.8804 0.7500
Pd 0.0000 0.0000 0.5000
Pd 0.0000 0.5000 0.0000
Au 0.0000 0.5000 0.5000
Au 0.5000 0.5000 0.0000

Entry 8:
Ba4Na3Pd2 after structural relaxation. Source: the Alexandria database, functional PBE.

Values from the calculation:
Its total magnetization is 0.00 μB per formula unit. As for the formation energy: -0.189 eV per atom. As for the space-group type: C2/m, No. 12.

a b c (Å): 9.7176 9.7176 10.9409
angles (deg): 113.66 113.66 26.51
Sites, in units of the cell vectors:
Ba 0.0512 0.0512 0.2110
Ba 0.3029 0.3029 0.3825
Ba 0.6971 0.6971 0.6175
Ba 0.9488 0.9488 0.7890
Na 0.0000 0.0000 0.5000
Na 0.3316 0.3316 0.9759
Na 0.6684 0.6684 0.0241
Pd 0.3253 0.3253 0.6973
Pd 0.6747 0.6747 0.3027

Entry 9:
MgAg2Ru after structural relaxation. Source: the Alexandria database, functional PBE.

Values from the calculation:
Its total magnetization is 0.36 μB per formula unit. As for the formation energy: 0.206 eV per atom. As for the space-group type: Cmmm, No. 65.

a b c (Å): 5.0451 5.0451 2.8231
angles (deg): 90.00 90.00 112.36
Sites, in units of the cell vectors:
Mg 0.0000 0.0000 0.0000
Ag 0.0000 0.5000 0.5000
Ag 0.5000 0.0000 0.5000
Ru 0.5000 0.5000 0.0000

Entry 10:
Pm3Tm4Pb4 after structural relaxation. Source: the Alexandria database, functional PBE.

Values from the calculation:
Its total magnetization is 0.03 μB per formula unit. As for the formation energy: -0.263 eV per atom. As for the space-group type: Immm, No. 71.

a b c (Å): 17.3844 17.3844 17.3844
angles (deg): 167.41 162.90 21.29
Sites, in units of the cell vectors:
Pm 0.0000 0.0000 0.0000
Pm 0.3528 0.8528 0.5000
Pm 0.6472 0.1472 0.5000
Tm 0.0945 0.5945 0.5000
Tm 0.2627 0.2627 0.0000
Tm 0.7373 0.7373 0.0000
Tm 0.9055 0.4055 0.5000
Pb 0.1844 0.6844 0.5000
Pb 0.4515 0.4515 0.0000
Pb 0.5485 0.5485 0.0000
Pb 0.8156 0.3156 0.5000

Entry 11:
Ge4OsRu after structural relaxation. Source: the Alexandria database, functional PBE.

Values from the calculation:
Its total magnetization is 0.00 μB per formula unit. As for the formation energy: -0.077 eV per atom. As for the space-group type: Pnc2, No. 30.

a b c (Å): 5.4481 6.2429 6.9124
angles (deg): 90.00 90.00 90.00
Sites, in units of the cell vectors:
Ge 0.1413 0.2357 0.0000
Ge 0.1413 0.2643 0.5000
Ge 0.3562 0.7356 0.1804
Ge 0.3562 0.7644 0.6804
Ge 0.6438 0.2356 0.6804
Ge 0.6438 0.2644 0.1804
Ge 0.8587 0.7357 0.5000
Ge 0.8587 0.7643 0.0000
Os 0.5000 0.0000 0.9465
Os 0.5000 0.5000 0.4465
Ru 0.0000 0.0000 0.7331
Ru 0.0000 0.5000 0.2331

Entry 12:
Mg3C after structural relaxation. Source: the Alexandria database, functional PBE.

Values from the calculation:
Its total magnetization is 0.00 μB per formula unit. Its energy above the most stable polymorph in this dataset is 766 meV per atom. As for the formation energy: 1.102 eV per atom. As for the space-group type: R-3m, No. 166.

a b c (Å): 5.2693 5.2693 5.2693
angles (deg): 116.63 116.63 116.63
Sites, in units of the cell vectors:
Mg 0.0000 0.5000 0.5000
Mg 0.5000 0.0000 0.5000
Mg 0.5000 0.5000 0.0000
C 0.0000 0.0000 0.0000

Entry 13:
YHfCrPt2 after structural relaxation. Source: the Alexandria database, functional PBE.

Values from the calculation:
Its total magnetization is 3.17 μB per formula unit. As for the formation energy: 0.197 eV per atom. As for the space-group type: P4/mmm, No. 123.

a b c (Å): 4.9638 4.9638 4.7394
angles (deg): 90.00 90.00 90.00
Sites, in units of the cell vectors:
Y 0.0000 0.0000 0.0000
Hf 0.5000 0.5000 0.5000
Cr 0.5000 0.5000 0.0000
Pt 0.0000 0.5000 0.5000
Pt 0.5000 0.0000 0.5000

Entry 14:
Zn2SbTe2 after structural relaxation. Source: the Alexandria database, functional PBE.

Values from the calculation:
Its total magnetization is 0.00 μB per formula unit. As for the formation energy without anion corrections: 0.095 eV per atom. As for the space-group type: I4/mmm, No. 139.

a b c (Å): 8.4295 8.4295 8.4295
angles (deg): 152.41 152.41 39.41
Sites, in units of the cell vectors:
Zn 0.2500 0.7500 0.5000
Zn 0.7500 0.2500 0.5000
Sb 0.0000 0.0000 0.0000
Te 0.3712 0.3712 0.0000
Te 0.6288 0.6288 0.0000